#i
Entry from Alexandria: a geometry-optimized Na2IO structure (PBE).

Geometry as CIF:
```
data_Na2IO
_chemical_formula_sum 'Na8 I4 O4'
_cell_length_a 7.1165
_cell_length_b 7.1165
_cell_length_c 7.1165
_cell_angle_alpha 90.00
_cell_angle_beta 90.00
_cell_angle_gamma 90.00
_space_group_name_H-M_alt 'F m -3 m'
_space_group_IT_number 225
_space_group_name_Hall '-F 4 2 3'
loop_
_atom_site_label
_atom_site_type_symbol
_atom_site_fract_x
_atom_site_fract_y
_atom_site_fract_z
_atom_site_occupancy
Na1 Na 0.2500 0.2500 0.2500 1
I1 I 0.0000 0.0000 0.0000 1
O1 O 0.0000 0.0000 0.5000 1
```

Computed properties:
Its magnetic moment is 0.250 μB/atom.

#ii
Entry from Alexandria: a geometry-optimized Na2IO structure (PBE).

Geometry as CIF:
```
data_Na2IO
_chemical_formula_sum 'Na8 I4 O4'
_cell_length_a 7.9773
_cell_length_b 7.9773
_cell_length_c 5.7984
_cell_angle_alpha 90.00
_cell_angle_beta 90.00
_cell_angle_gamma 90.00
_space_group_name_H-M_alt 'I -4 2 d'
_space_group_IT_number 122
_space_group_name_Hall 'I -4 2bw'
loop_
_atom_site_label
_atom_site_type_symbol
_atom_site_fract_x
_atom_site_fract_y
_atom_site_fract_z
_atom_site_occupancy
Na1 Na 0.1112 0.2500 0.1250 1
I1 I 0.0000 0.0000 0.5000 1
O1 O 0.0000 0.0000 0.0000 1
```

Computed properties:
Its magnetic moment is 0.000 μB/atom.

Which one sits at the top of the stability order? #ii does.

#i
Entry from Alexandria: a geometry-optimized Na3IO4 structure (PBE).

Geometry as CIF:
```
data_Na3IO4
_chemical_formula_sum 'Na6 I2 O8'
_cell_length_a 9.2601
_cell_length_b 4.9535
_cell_length_c 4.9602
_cell_angle_alpha 90.00
_cell_angle_beta 90.00
_cell_angle_gamma 90.00
_space_group_name_H-M_alt 'P m n 21'
_space_group_IT_number 31
loop_
_space_group_symop_operation_xyz
'x,y,z'
'-x+1/2,-y,z+1/2'
'-x,y,z'
'x+1/2,-y,z+1/2'
loop_
_atom_site_label
_atom_site_type_symbol
_atom_site_fract_x
_atom_site_fract_y
_atom_site_fract_z
_atom_site_occupancy
Na1 Na 0.0000 0.2413 0.0000 1
Na2 Na 0.2499 0.2504 0.5024 1
I1 I 0.0000 0.7610 0.5169 1
O1 O 0.0000 0.1405 0.4907 1
O2 O 0.0000 0.7300 0.8956 1
O3 O 0.2144 0.7522 0.5082 1
```

Computed properties:
Its magnetic moment is 0.000 μB/atom.

#ii
Entry from Alexandria: a geometry-optimized Na3IO4 structure (PBE).

Geometry as CIF:
```
data_Na3IO4
_chemical_formula_sum 'Na6 I2 O8'
_cell_length_a 7.7275
_cell_length_b 6.7290
_cell_length_c 5.0150
_cell_angle_alpha 90.00
_cell_angle_beta 90.00
_cell_angle_gamma 90.00
_space_group_name_H-M_alt 'P m n 21'
_space_group_IT_number 31
loop_
_space_group_symop_operation_xyz
'x,y,z'
'-x+1/2,-y,z+1/2'
'-x,y,z'
'x+1/2,-y,z+1/2'
loop_
_atom_site_label
_atom_site_type_symbol
_atom_site_fract_x
_atom_site_fract_y
_atom_site_fract_z
_atom_site_occupancy
Na1 Na 0.0000 0.1682 0.0000 1
Na2 Na 0.2419 0.3331 0.4996 1
I1 I 0.0000 0.8317 0.4948 1
O1 O 0.0000 0.1245 0.4874 1
O2 O 0.0000 0.8296 0.1215 1
O3 O 0.2182 0.6816 0.4919 1
```

Computed properties:
Its magnetic moment is 0.000 μB/atom.

Which one sits at the top of the stability order? #i does.

#i
Entry from Alexandria: a geometry-optimized NaOsIO2 structure (PBE).

Geometry as CIF:
```
data_NaOsIO2
_chemical_formula_sum 'Na1 Os1 I1 O2'
_cell_length_a 3.8703
_cell_length_b 3.8703
_cell_length_c 6.5271
_cell_angle_alpha 90.00
_cell_angle_beta 90.00
_cell_angle_gamma 90.00
_space_group_name_H-M_alt 'P 4/m m m'
_space_group_IT_number 123
_space_group_name_Hall '-P 4 2'
loop_
_atom_site_label
_atom_site_type_symbol
_atom_site_fract_x
_atom_site_fract_y
_atom_site_fract_z
_atom_site_occupancy
Na1 Na 0.0000 0.0000 0.0000 1
Os1 Os 0.5000 0.5000 0.5000 1
I1 I 0.5000 0.5000 0.0000 1
O1 O 0.0000 0.5000 0.5000 1
```

Computed properties:
Its magnetic moment is 0.041 μB/atom.

#ii
Entry from Alexandria: a geometry-optimized NaOsIO2 structure (PBE).

Geometry as CIF:
```
data_NaOsIO2
_chemical_formula_sum 'Na1 Os1 I1 O2'
_cell_length_a 4.1242
_cell_length_b 4.1242
_cell_length_c 5.7892
_cell_angle_alpha 90.00
_cell_angle_beta 90.00
_cell_angle_gamma 90.00
_space_group_name_H-M_alt 'P 4/m m m'
_space_group_IT_number 123
_space_group_name_Hall '-P 4 2'
loop_
_atom_site_label
_atom_site_type_symbol
_atom_site_fract_x
_atom_site_fract_y
_atom_site_fract_z
_atom_site_occupancy
Na1 Na 0.0000 0.0000 0.0000 1
Os1 Os 0.5000 0.5000 0.5000 1
I1 I 0.0000 0.0000 0.5000 1
O1 O 0.0000 0.5000 0.0000 1
```

Computed properties:
Its magnetic moment is 1.108 μB/atom.

Which one sits at the top of the stability order? #i does.

#i
Entry from Alexandria: a geometry-optimized NaP2IO structure (PBE).

Geometry as CIF:
```
data_NaP2IO
_chemical_formula_sum 'Na1 P2 I1 O1'
_cell_length_a 5.1045
_cell_length_b 5.1045
_cell_length_c 4.0261
_cell_angle_alpha 90.00
_cell_angle_beta 90.00
_cell_angle_gamma 90.00
_space_group_name_H-M_alt 'P 4/m m m'
_space_group_IT_number 123
_space_group_name_Hall '-P 4 2'
loop_
_atom_site_label
_atom_site_type_symbol
_atom_site_fract_x
_atom_site_fract_y
_atom_site_fract_z
_atom_site_occupancy
Na1 Na 0.0000 0.0000 0.0000 1
P1 P 0.0000 0.5000 0.0000 1
I1 I 0.5000 0.5000 0.5000 1
O1 O 0.0000 0.0000 0.5000 1
```

Computed properties:
Its magnetic moment is 0.000 μB/atom.

#ii
Entry from Alexandria: a geometry-optimized NaP2IO structure (PBE).

Geometry as CIF:
```
data_NaP2IO
_chemical_formula_sum 'Na1 P2 I1 O1'
_cell_length_a 5.3612
_cell_length_b 5.3612
_cell_length_c 3.9703
_cell_angle_alpha 90.00
_cell_angle_beta 90.00
_cell_angle_gamma 90.00
_space_group_name_H-M_alt 'P 4/m m m'
_space_group_IT_number 123
_space_group_name_Hall '-P 4 2'
loop_
_atom_site_label
_atom_site_type_symbol
_atom_site_fract_x
_atom_site_fract_y
_atom_site_fract_z
_atom_site_occupancy
Na1 Na 0.0000 0.0000 0.0000 1
P1 P 0.0000 0.5000 0.5000 1
I1 I 0.5000 0.5000 0.5000 1
O1 O 0.5000 0.5000 0.0000 1
```

Computed properties:
Its magnetic moment is 0.000 μB/atom.

Which one sits at the top of the stability order? #ii does.

#i
Entry from Alexandria: a geometry-optimized NaPbIO2 structure (PBE).

Geometry as CIF:
```
data_NaPbIO2
_chemical_formula_sum 'Na1 Pb1 I1 O2'
_cell_length_a 4.3224
_cell_length_b 4.3224
_cell_length_c 6.3368
_cell_angle_alpha 90.00
_cell_angle_beta 90.00
_cell_angle_gamma 90.00
_space_group_name_H-M_alt 'P 4/m m m'
_space_group_IT_number 123
_space_group_name_Hall '-P 4 2'
loop_
_atom_site_label
_atom_site_type_symbol
_atom_site_fract_x
_atom_site_fract_y
_atom_site_fract_z
_atom_site_occupancy
Na1 Na 0.0000 0.0000 0.0000 1
Pb1 Pb 0.5000 0.5000 0.5000 1
I1 I 0.5000 0.5000 0.0000 1
O1 O 0.0000 0.5000 0.5000 1
```

Computed properties:
Its magnetic moment is 0.060 μB/atom.

#ii
Entry from Alexandria: a geometry-optimized NaPbIO2 structure (PBE).

Geometry as CIF:
```
data_NaPbIO2
_chemical_formula_sum 'Na1 Pb1 I1 O2'
_cell_length_a 4.5664
_cell_length_b 4.5664
_cell_length_c 5.6799
_cell_angle_alpha 90.00
_cell_angle_beta 90.00
_cell_angle_gamma 90.00
_space_group_name_H-M_alt 'P 4/m m m'
_space_group_IT_number 123
_space_group_name_Hall '-P 4 2'
loop_
_atom_site_label
_atom_site_type_symbol
_atom_site_fract_x
_atom_site_fract_y
_atom_site_fract_z
_atom_site_occupancy
Na1 Na 0.0000 0.0000 0.0000 1
Pb1 Pb 0.5000 0.5000 0.5000 1
I1 I 0.0000 0.0000 0.5000 1
O1 O 0.0000 0.5000 0.0000 1
```

Computed properties:
Its magnetic moment is 0.400 μB/atom.

Which one sits at the top of the stability order? #i does.

#i
Entry from Alexandria: a geometry-optimized NaPtI2O structure (PBE).

Geometry as CIF:
```
data_NaPtI2O
_chemical_formula_sum 'Na1 Pt1 I2 O1'
_cell_length_a 5.5698
_cell_length_b 5.5698
_cell_length_c 3.9591
_cell_angle_alpha 90.00
_cell_angle_beta 90.00
_cell_angle_gamma 90.00
_space_group_name_H-M_alt 'P 4/m m m'
_space_group_IT_number 123
_space_group_name_Hall '-P 4 2'
loop_
_atom_site_label
_atom_site_type_symbol
_atom_site_fract_x
_atom_site_fract_y
_atom_site_fract_z
_atom_site_occupancy
Na1 Na 0.0000 0.0000 0.0000 1
Pt1 Pt 0.5000 0.5000 0.5000 1
I1 I 0.0000 0.5000 0.0000 1
O1 O 0.0000 0.0000 0.5000 1
```

Computed properties:
Its magnetic moment is 0.000 μB/atom.

#ii
Entry from Alexandria: a geometry-optimized NaPtI2O structure (PBE).

Geometry as CIF:
```
data_NaPtI2O
_chemical_formula_sum 'Na1 Pt1 I2 O1'
_cell_length_a 5.8174
_cell_length_b 5.8174
_cell_length_c 3.8576
_cell_angle_alpha 90.00
_cell_angle_beta 90.00
_cell_angle_gamma 90.00
_space_group_name_H-M_alt 'P 4/m m m'
_space_group_IT_number 123
_space_group_name_Hall '-P 4 2'
loop_
_atom_site_label
_atom_site_type_symbol
_atom_site_fract_x
_atom_site_fract_y
_atom_site_fract_z
_atom_site_occupancy
Na1 Na 0.0000 0.0000 0.0000 1
Pt1 Pt 0.5000 0.5000 0.5000 1
I1 I 0.0000 0.5000 0.5000 1
O1 O 0.5000 0.5000 0.0000 1
```

Computed properties:
Its magnetic moment is 0.087 μB/atom.

Which one sits at the top of the stability order? #ii does.

#i
Entry from Alexandria: a geometry-optimized RbNaIO2 structure (PBE).

Geometry as CIF:
```
data_RbNaIO2
_chemical_formula_sum 'Rb1 Na1 I1 O2'
_cell_length_a 4.9775
_cell_length_b 4.9775
_cell_length_c 6.1486
_cell_angle_alpha 90.00
_cell_angle_beta 90.00
_cell_angle_gamma 90.00
_space_group_name_H-M_alt 'P 4/m m m'
_space_group_IT_number 123
_space_group_name_Hall '-P 4 2'
loop_
_atom_site_label
_atom_site_type_symbol
_atom_site_fract_x
_atom_site_fract_y
_atom_site_fract_z
_atom_site_occupancy
Rb1 Rb 0.0000 0.0000 0.0000 1
Na1 Na 0.5000 0.5000 0.5000 1
I1 I 0.5000 0.5000 0.0000 1
O1 O 0.0000 0.5000 0.5000 1
```

Computed properties:
Its magnetic moment is 0.600 μB/atom.

#ii
Entry from Alexandria: a geometry-optimized RbNaIO2 structure (PBE).

Geometry as CIF:
```
data_RbNaIO2
_chemical_formula_sum 'Rb1 Na1 I1 O2'
_cell_length_a 5.1342
_cell_length_b 5.1342
_cell_length_c 7.5108
_cell_angle_alpha 90.00
_cell_angle_beta 90.00
_cell_angle_gamma 90.00
_space_group_name_H-M_alt 'P 4/m m m'
_space_group_IT_number 123
_space_group_name_Hall '-P 4 2'
loop_
_atom_site_label
_atom_site_type_symbol
_atom_site_fract_x
_atom_site_fract_y
_atom_site_fract_z
_atom_site_occupancy
Rb1 Rb 0.0000 0.0000 0.0000 1
Na1 Na 0.5000 0.5000 0.5000 1
I1 I 0.0000 0.0000 0.5000 1
O1 O 0.0000 0.5000 0.0000 1
```

Computed properties:
Its magnetic moment is 0.611 μB/atom.

Which one sits at the top of the stability order? #i does.

#i
Entry from Alexandria: a geometry-optimized NaReIO2 structure (PBE).

Geometry as CIF:
```
data_NaReIO2
_chemical_formula_sum 'Na1 Re1 I1 O2'
_cell_length_a 3.9102
_cell_length_b 3.9102
_cell_length_c 6.1351
_cell_angle_alpha 90.00
_cell_angle_beta 90.00
_cell_angle_gamma 90.00
_space_group_name_H-M_alt 'P 4/m m m'
_space_group_IT_number 123
_space_group_name_Hall '-P 4 2'
loop_
_atom_site_label
_atom_site_type_symbol
_atom_site_fract_x
_atom_site_fract_y
_atom_site_fract_z
_atom_site_occupancy
Na1 Na 0.0000 0.0000 0.0000 1
Re1 Re 0.5000 0.5000 0.5000 1
I1 I 0.5000 0.5000 0.0000 1
O1 O 0.0000 0.5000 0.5000 1
```

Computed properties:
Its magnetic moment is 0.080 μB/atom.

#ii
Entry from Alexandria: a geometry-optimized NaReIO2 structure (PBE).

Geometry as CIF:
```
data_NaReIO2
_chemical_formula_sum 'Na1 Re1 I1 O2'
_cell_length_a 4.2205
_cell_length_b 4.2205
_cell_length_c 5.7095
_cell_angle_alpha 90.00
_cell_angle_beta 90.00
_cell_angle_gamma 90.00
_space_group_name_H-M_alt 'P 4/m m m'
_space_group_IT_number 123
_space_group_name_Hall '-P 4 2'
loop_
_atom_site_label
_atom_site_type_symbol
_atom_site_fract_x
_atom_site_fract_y
_atom_site_fract_z
_atom_site_occupancy
Na1 Na 0.0000 0.0000 0.0000 1
Re1 Re 0.5000 0.5000 0.5000 1
I1 I 0.0000 0.0000 0.5000 1
O1 O 0.0000 0.5000 0.0000 1
```

Computed properties:
Its magnetic moment is 0.467 μB/atom.

Which one sits at the top of the stability order? #i does.